# 1
An optimized crystal structure of Pm2InSe. Source: the Alexandria database, functional PBE.

The structure in POSCAR format:
```
Pm2InSe
1.0
4.3193 0.0000 0.0000
0.0000 4.3465 -0.7720
0.0000 -0.0985 12.0674
Pm In Se
4 2 2
direct
0.2500 0.3157 0.6315
0.7500 0.6843 0.3685
0.2500 0.0702 0.1403
0.7500 0.9298 0.8597
0.2500 0.4566 0.9131
0.7500 0.5434 0.0869
0.7500 0.8076 0.6151
0.2500 0.1924 0.3849
```

Its density of states at the Fermi level is 1.89 states/eV/f.u. The value obtained for the density is 7.1 g/cm3. For the formation energy without anion corrections, the calculation gives -1158 meV per atom. The energy above the most stable polymorph in this dataset comes out at 0.000 eV per atom.

---

# 2
An optimized crystal structure of Ga3RhBr. Source: the Alexandria database, functional PBE.

The structure in POSCAR format:
```
Ga3RhBr
1.0
-4.5251 0.5207 2.7370
-1.3305 -4.9905 -1.2503
2.4479 -1.7499 4.3800
Ga Br Rh
3 1 1
direct
0.0000 0.0000 0.5000
0.5000 0.0000 0.0000
0.0000 0.5000 0.0000
0.0000 0.0000 0.0000
0.5000 0.5000 0.5000
```

Its density of states at the Fermi level is 6.41 states/eV/f.u. The value obtained for the density is 4.3 g/cm3. For the formation energy without anion corrections, the calculation gives 1028 meV per atom. The energy above the most stable polymorph in this dataset comes out at 1.488 eV per atom.

---

# 3
An optimized crystal structure of La2Ho4Ge3O2. Source: the Alexandria database, functional PBE.

The structure in POSCAR format:
```
La2Ho4Ge3O2
1.0
-3.6188 1.6845 2.2409
-1.9304 -4.1508 0.0028
8.1826 -1.2748 9.4966
La Ho Ge O
2 4 3 2
direct
0.3025 0.3025 0.6050
0.6975 0.6975 0.3950
0.9212 0.4212 0.8424
0.5788 0.0788 0.1576
0.0788 0.5788 0.1576
0.4212 0.9212 0.8424
0.0000 0.0000 0.0000
0.8319 0.8319 0.6638
0.1681 0.1681 0.3362
0.5894 0.5894 0.1787
0.4106 0.4106 0.8213
```

Its density of states at the Fermi level is 6.53 states/eV/f.u. The value obtained for the density is 7.7 g/cm3. For the formation energy without anion corrections, the calculation gives -1615 meV per atom.

---

# 4
An optimized crystal structure of Cs2TbAlS4. Source: the Alexandria database, functional PBE.

The structure in POSCAR format:
```
Cs2TbAlS4
1.0
6.2663 0.0000 0.0000
3.1332 7.3256 0.0000
3.1332 0.0000 13.0170
Tb S Al Cs
2 8 2 4
direct
0.7500 0.5000 0.5000
0.0000 0.0000 0.0000
0.8560 0.8148 0.9017
0.5725 0.1852 0.0983
0.2423 0.1852 0.9017
0.3293 0.8148 0.0983
0.5077 0.3148 0.5983
0.1775 0.3148 0.4017
0.8940 0.6852 0.5983
0.4207 0.6852 0.4017
0.2500 0.5000 0.5000
0.5000 0.0000 0.0000
0.8211 0.0000 0.3577
0.1789 0.0000 0.6423
0.5711 0.5000 0.8577
0.9289 0.5000 0.1423
```

Its density of states at the Fermi level is 0.00 states/eV/f.u. The value obtained for the density is 3.2 g/cm3. For the formation energy without anion corrections, the calculation gives -1441 meV per atom.

---

# 5
An optimized crystal structure of BaCaBr2. Source: the Alexandria database, functional PBE.

The structure in POSCAR format:
```
BaCaBr2
1.0
4.4157 0.0019 0.0000
-2.5270 3.6212 0.0000
0.0000 0.0000 9.8107
Br Ca Ba
2 1 1
direct
0.0000 0.0000 0.4651
0.0000 0.0000 0.0349
0.5000 0.5000 0.2500
0.5000 0.5000 0.7500
```

Its density of states at the Fermi level is 2.96 states/eV/f.u. The value obtained for the density is 3.6 g/cm3. For the formation energy without anion corrections, the calculation gives -1321 meV per atom. The energy above the most stable polymorph in this dataset comes out at 0.123 eV per atom.

---

# 6
An optimized crystal structure of Nd2TeS4. Source: the Alexandria database, functional PBE.

The structure in POSCAR format:
```
Nd2TeS4
1.0
-5.5380 -0.0578 3.9357
-3.9279 -0.3571 -5.5324
4.8711 -3.4831 0.9385
S Nd Te
4 2 1
direct
0.2292 0.2292 0.9997
0.2295 0.7708 0.0003
0.7705 0.7705 0.9997
0.7708 0.2295 0.0003
0.2500 0.7500 0.5000
0.7500 0.2500 0.5000
0.5000 0.5000 0.0000
```

Its density of states at the Fermi level is 1.09 states/eV/f.u. The value obtained for the density is 5.3 g/cm3. For the formation energy without anion corrections, the calculation gives -1238 meV per atom.

---

# 7
An optimized crystal structure of Tl5As2Pd12. Source: the Alexandria database, functional PBE.

The structure in POSCAR format:
```
Tl5As2Pd12
1.0
7.0604 0.0000 0.0000
-3.5302 7.6354 1.0291
0.0000 -1.9248 6.3526
Pd Tl As
12 5 2
direct
0.4205 0.2520 0.4292
0.9260 0.8521 0.8478
0.4584 0.3214 0.9923
0.4686 0.9372 0.2916
0.5314 0.0628 0.7084
0.8314 0.2520 0.4292
0.8630 0.3214 0.9923
0.5795 0.7480 0.5708
0.1686 0.7480 0.5708
0.5416 0.6786 0.0077
0.0740 0.1479 0.1522
0.1370 0.6786 0.0077
0.7457 0.4914 0.7157
0.0000 0.0000 0.5000
0.7910 0.5819 0.2718
0.2543 0.5086 0.2843
0.2090 0.4181 0.7282
0.2952 0.0000 0.0000
0.7048 0.0000 0.0000
```

Its density of states at the Fermi level is 10.28 states/eV/f.u. The value obtained for the density is 11.4 g/cm3. The energy relative to the elements comes out at -0.151 eV per atom.

---

# 8
An optimized crystal structure of ZnSi2BAs. Source: the Alexandria database, functional PBE.

The structure in POSCAR format:
```
ZnSi2BAs
1.0
-2.9744 3.2181 2.0242
-3.5347 -1.6028 -2.6458
-1.1220 -3.1986 3.4366
Si As Zn B
2 1 1 1
direct
0.0000 0.0000 0.5000
0.5000 0.0000 0.0000
0.0000 0.0000 0.0000
0.0000 0.5000 0.0000
0.5000 0.5000 0.5000
```

Its density of states at the Fermi level is 3.67 states/eV/f.u. The value obtained for the density is 3.1 g/cm3. For the formation energy without anion corrections, the calculation gives 1708 meV per atom.

---

What total energy values result from the calculations? In sequence: -5.089 -2.593 -6.337 -4.765 -3.138 -5.408 -4.542 -2.982 eV/atom.